An optimized crystal structure of LaInCl2, computed with PBE.

Unit cell a=6.549 b=6.549 c=6.549 alpha=142.33 beta=142.33 gamma=54.33
Fractional coordinates of all 4 atoms:
La (0.000, 0.000, 0.000)
In (0.750, 0.250, 0.500)
Cl (0.250, 0.750, 0.500)
Cl (0.500, 0.500, 0.000)

Relative energy among the computed polymorphs = 0.161 eV per atom
Electronic total energy = -4.04 eV/atom

=====

An optimized crystal structure of LaInCl2, computed with PBE.

Unit cell a=5.645 b=5.645 c=5.645 alpha=130.04 beta=130.04 gamma=73.35
Fractional coordinates of all 4 atoms:
La (0.000, 0.000, 0.000)
In (0.500, 0.500, 0.000)
Cl (0.250, 0.750, 0.500)
Cl (0.750, 0.250, 0.500)

Relative energy among the computed polymorphs = 0.198 eV per atom
Electronic total energy = -4.01 eV/atom

=====

An optimized crystal structure of LaInCl2, computed with PBE.

Unit cell a=3.970 b=4.849 c=6.053 alpha=90.00 beta=90.30 gamma=90.00
Fractional coordinates of all 4 atoms:
La (0.000, 0.000, 0.000)
In (0.500, 0.000, 0.500)
Cl (0.196, 0.500, 0.764)
Cl (0.804, 0.500, 0.236)

Relative energy among the computed polymorphs = 0.114 eV per atom
Electronic total energy = -4.09 eV/atom

=====

An optimized crystal structure of La4In2Cl, computed with PBE.

Unit cell a=9.138 b=9.138 c=9.138 alpha=145.65 beta=145.65 gamma=49.37
Fractional coordinates of all 7 atoms:
La (0.000, 0.500, 0.500)
La (0.175, 0.175, 0.000)
La (0.500, 0.000, 0.500)
La (0.825, 0.825, 0.000)
In (0.373, 0.373, 0.000)
In (0.627, 0.627, 0.000)
Cl (0.000, 0.000, 0.000)

Relative energy among the computed polymorphs = 0.160 eV per atom
Electronic total energy = -4.44 eV/atom

=====

> Number 3 is which compound?

LaInCl2